No. 1
# DyErMgAl

A geometry-optimized DyErMgAl structure (PBE, OQMD via LeMat-Bulk).

Computed properties:
- total magnetization (μB per cell) = 0.01
- energy (eV/atom) = -3.88
- space group = No. 216

a = 5.1746 Å, b = 5.1746 Å, c = 5.1746 Å
α = 60.00°, β = 60.00°, γ = 60.00°
Last column: nearest neighbours and their distance in Å.
Fractional coordinates of all 4 atoms:
Dy 0.0000 0.0000 0.0000  4 Mg 3.17, 4 Al 3.17
Er 0.5000 0.5000 0.5000  4 Mg 3.17, 4 Al 3.17
Mg 0.7500 0.7500 0.7500  4 Dy 3.17, 4 Er 3.17
Al 0.2500 0.2500 0.2500  4 Dy 3.17, 4 Er 3.17


No. 2
# Dy2ErAl3Ni3

A geometry-optimized Dy2ErAl3Ni3 structure (PBE, OQMD via LeMat-Bulk).

Computed properties:
- total magnetization (μB per cell) = 0.00
- energy (eV/atom) = -5.25
- space group = No. 38

a = 3.9503 Å, b = 6.8847 Å, c = 6.8847 Å
α = 120.02°, β = 90.00°, γ = 90.00°
Last column: nearest neighbours and their distance in Å.
Fractional coordinates of all 9 atoms:
Dy 0.0000 0.2079 0.7921  5 Ni 2.87, 6 Al 3.11-3.18
Dy 0.0000 0.7921 0.2079  5 Ni 2.87, 6 Al 3.11-3.18
Er 0.0000 0.6233 0.6233  5 Ni 2.84-2.85, 6 Al 3.11-3.17
Al 0.5000 0.2092 0.4444  4 Ni 2.55-2.72, 2 Al 2.81
Al 0.5000 0.4444 0.2092  4 Ni 2.55-2.72, 2 Al 2.81
Al 0.5000 0.9723 0.9723  4 Ni 2.57-2.68, 2 Al 2.81
Ni 0.0000 0.2105 0.2105  6 Al 2.55-2.57, 1 Er 2.84
Ni 0.5000 0.5427 0.8724  3 Al 2.68-2.72, 2 Er 2.85, 4 Dy 2.87
Ni 0.5000 0.8724 0.5427  3 Al 2.68-2.72, 2 Er 2.85, 4 Dy 2.87


No. 3
# DyEr2Al3Ni3

A geometry-optimized DyEr2Al3Ni3 structure (PBE, OQMD via LeMat-Bulk).

Computed properties:
- total magnetization (μB per cell) = 0.00
- energy (eV/atom) = -5.25
- space group = No. 38

a = 3.9356 Å, b = 6.8671 Å, c = 6.8671 Å
α = 120.00°, β = 90.00°, γ = 90.00°
Last column: nearest neighbours and their distance in Å.
Fractional coordinates of all 9 atoms:
Dy 0.0000 0.0000 0.0000  5 Ni 2.87, 6 Al 3.09-3.17
Er 0.0000 0.1690 0.5842  5 Ni 2.84-2.85, 6 Al 3.10-3.16
Er 0.0000 0.5842 0.1690  5 Ni 2.84-2.85, 6 Al 3.10-3.16
Al 0.5000 0.3478 0.3478  4 Ni 2.54-2.70, 2 Al 2.81
Al 0.5000 0.5832 0.8199  4 Ni 2.56-2.70, 2 Al 2.81
Al 0.5000 0.8199 0.5832  4 Ni 2.56-2.70, 2 Al 2.81
Ni 0.0000 0.5817 0.5817  6 Al 2.54-2.56, 2 Er 2.84
Ni 0.5000 0.2528 0.9163  3 Al 2.66-2.70, 4 Er 2.84-2.85, 2 Dy 2.87
Ni 0.5000 0.9163 0.2528  3 Al 2.66-2.70, 4 Er 2.84-2.85, 2 Dy 2.87


No. 4
# DyErAlOs2

A geometry-optimized DyErAlOs2 structure (PBE, OQMD via LeMat-Bulk).

Computed properties:
- total magnetization (μB per cell) = 0.00
- energy (eV/atom) = -7.50
- space group = No. 44

a = 5.5651 Å, b = 5.5651 Å, c = 5.5651 Å
α = 135.70°, β = 119.50°, γ = 77.98°
Last column: nearest neighbours and their distance in Å.
Fractional coordinates of all 5 atoms:
Dy 0.0000 0.0000 0.0000  6 Os 3.00-3.01, 4 Al 3.31-3.32
Er 0.5943 0.5943 0.0000  6 Os 3.00-3.01, 4 Al 3.31-3.32
Al 0.2972 0.7972 0.5000  4 Os 2.61
Os 0.0199 0.2971 0.7228  1 Os 2.50, 2 Al 2.61
Os 0.5743 0.2971 0.2772  1 Os 2.50, 2 Al 2.61


No. 5
# DyErAl3Si2

A geometry-optimized DyErAl3Si2 structure (PBE, OQMD via LeMat-Bulk).

Computed properties:
- total magnetization (μB per cell) = 0.00
- energy (eV/atom) = -5.01
- space group = No. 8

a = 5.4546 Å, b = 5.4546 Å, c = 6.5968 Å
α = 100.14°, β = 100.14°, γ = 43.43°
Last column: nearest neighbours and their distance in Å.
Fractional coordinates of all 7 atoms:
Dy 0.0000 0.0000 0.0000  5 Si 2.87-3.00, 5 Al 3.02-3.20
Er 0.2391 0.2391 0.6451  5 Si 2.88-3.00, 5 Al 3.01-3.20
Al 0.3144 0.3144 0.1900  2 Si 2.61, 2 Al 2.77
Al 0.6201 0.6201 0.3234  2 Si 2.71-2.72, 2 Er 3.01, 2 Dy 3.02
Al 0.9245 0.9245 0.4565  2 Si 2.60, 2 Al 2.77
Si 0.5264 0.5264 0.6818  1 Si 2.38, 2 Al 2.60
Si 0.7128 0.7128 0.9620  1 Si 2.38, 2 Al 2.61


No. 6
# DyErAlSi2

A geometry-optimized DyErAlSi2 structure (PBE, OQMD via LeMat-Bulk).

Computed properties:
- total magnetization (μB per cell) = 0.00
- energy (eV/atom) = -5.47
- space group = No. 44

a = 5.5735 Å, b = 5.5735 Å, c = 5.5735 Å
α = 137.22°, β = 118.48°, γ = 77.83°
Last column: nearest neighbours and their distance in Å.
Fractional coordinates of all 5 atoms:
Dy 0.0000 0.0000 0.0000  6 Si 2.99-3.00, 2 Al 3.23
Er 0.4213 0.4213 0.0000  6 Si 2.98-3.00, 2 Al 3.23
Al 0.7107 0.2107 0.5000  4 Si 2.62
Si 0.0002 0.7108 0.2893  1 Si 2.40, 2 Al 2.62
Si 0.4215 0.7108 0.7107  1 Si 2.40, 2 Al 2.62